A plane-wave DFT calculation with GGA-PBE was carried out for a geometry-optimized CuTePbI2 structure.

## Properties
ΔE_f (raw)	0.035	eV per atom
magnetic moment	0.00	μB per cell
final energy	-2.774	eV per atom
energy relative to the lowest polymorph listed for this composition	0.000	eV/atom

a b c (Å): 5.294 5.294 5.231
angles (deg): 90.00 90.00 90.00
Fractional coordinates of all 5 atoms:
Pb  0.500  0.500  0.500
I  0.000  0.500  0.000
I  0.500  0.000  0.000
Te  0.000  0.000  0.500
Cu  0.000  0.000  0.000